! HoPaPdPt | the Alexandria database | GGA-PBE | optimized geometry; values from VASP
&SYSTEM
  ibrav = 0, nat = 4, ntyp = 4
/
ATOMIC_SPECIES
Pa 231.04 Pa.upf
Ho 164.93 Ho.upf
Pt 195.08 Pt.upf
Pd 106.42 Pd.upf
ATOMIC_POSITIONS angstrom
Pa 0.000 0.000 0.000
Ho -5.323 2.868 -0.575
Pt -7.984 4.301 -0.863
Pd -2.661 1.434 -0.288
CELL_PARAMETERS angstrom
-2.230 4.429 -0.036
-3.860 0.808 -3.007
-4.556 0.498 1.893
! - total magnetization (Bohr magnetons per cell) = 0.73
! - formation energy (eV/atom) = -0.769